(1)
Density functional theory data (PBE) for a relaxed structure of Ca2CeGe3Ir4.

Lattice parameters (Å, degrees): 4.2690 4.2690 10.9726 90.00 90.00 90.00
Fractional positions:
Ca1 0.0000 0.5000 0.2225
Ca2 0.5000 0.0000 0.7775
Ce1 0.0000 0.0000 0.5000
Ge1 0.0000 0.5000 0.8782
Ge2 0.5000 0.0000 0.1218
Ge3 0.5000 0.5000 0.5000
Ir1 0.0000 0.0000 0.0000
Ir2 0.0000 0.5000 0.6507
Ir3 0.5000 0.0000 0.3493
Ir4 0.5000 0.5000 0.0000

Output
- E_form: -0.65 eV/atom
- Crystal system: tetragonal
- SG: P-4m2, No. 115

***

(2)
Density functional theory data (PBE) for a relaxed structure of CeSi2Tc.

Lattice parameters (Å, degrees): 4.1329 4.1329 9.9927 90.00 90.00 120.00
Fractional positions:
Ce1 0.3333 0.6667 0.2500
Ce2 0.6667 0.3333 0.7500
Si1 0.3333 0.6667 0.5706
Si2 0.3333 0.6667 0.9294
Si3 0.6667 0.3333 0.0706
Si4 0.6667 0.3333 0.4294
Tc1 0.0000 0.0000 0.0000
Tc2 0.0000 0.0000 0.5000

Output
- Formation energy from raw total energies: -2.419 eV per formula unit
- Polymorph energy (0 for the lowest one): 65 meV per atom
- Crystal system: hexagonal
- SG: P6_3/mmc, No. 194

***

(3)
Density functional theory data (PBE) for a relaxed structure of PrScRu4.

Lattice parameters (Å, degrees): 5.3273 5.3273 5.3273 60.00 60.00 60.00
Fractional positions:
Pr1 0.0000 0.0000 0.0000
Sc1 0.7500 0.7500 0.7500
Ru1 0.3756 0.3756 0.3756
Ru2 0.3756 0.3756 0.8732
Ru3 0.3756 0.8732 0.3756
Ru4 0.8732 0.3756 0.3756

Output
- E_form: -0.18 eV/atom
- Crystal system: cubic
- SG: F-43m, No. 216

***

(4)
Density functional theory data (PBE) for a relaxed structure of K2CeTlCl6.

Lattice parameters (Å, degrees): 7.6403 8.1452 13.3055 90.00 123.81 90.00
Fractional positions:
K1 0.2138 0.0757 0.2436
K2 0.2138 0.4243 0.7436
K3 0.7862 0.5757 0.2564
K4 0.7862 0.9243 0.7564
Ce1 0.5000 0.0000 0.0000
Ce2 0.5000 0.5000 0.5000
Tl1 0.0000 0.0000 0.5000
Tl2 0.0000 0.5000 0.0000
Cl1 0.1449 0.1774 0.9361
Cl2 0.1449 0.3226 0.4361
Cl3 0.2510 0.7193 0.9173
Cl4 0.2510 0.7807 0.4173
Cl5 0.4116 0.0658 0.7713
Cl6 0.4116 0.4342 0.2713
Cl7 0.5884 0.5658 0.7287
Cl8 0.5884 0.9342 0.2287
Cl9 0.7490 0.2193 0.5827
Cl10 0.7490 0.2807 0.0827
Cl11 0.8551 0.6774 0.5639
Cl12 0.8551 0.8226 0.0639

Output
- Formation energy from raw total energies: -18.967 eV per formula unit
- Crystal system: monoclinic
- SG: P2_1/c, No. 14

***

(5)
Density functional theory data (PBE) for a relaxed structure of Tb2HoCo.

Lattice parameters (Å, degrees): 9.2240 9.2240 9.2240 23.48 23.48 23.48
Fractional positions:
Tb1 0.0000 0.0000 0.0000
Tb2 0.2180 0.2180 0.2180
Ho1 0.4439 0.4439 0.4439
Co1 0.6088 0.6088 0.6088

Output
- E_form: 0.01 eV/atom
- Polymorph energy (0 for the lowest one): 170 meV per atom
- Crystal system: trigonal
- SG: R3m, No. 160

***

(6)
Density functional theory data (PBE) for a relaxed structure of K4Th3ZrSe8.

Lattice parameters (Å, degrees): 9.2410 9.2410 9.2410 53.44 53.44 53.44
Fractional positions:
K1 0.0000 0.0000 0.0000
K2 0.0000 0.5000 0.5000
K3 0.5000 0.0000 0.5000
K4 0.5000 0.5000 0.0000
Th1 0.0000 0.0000 0.5000
Th2 0.0000 0.5000 0.0000
Th3 0.5000 0.0000 0.0000
Zr1 0.5000 0.5000 0.5000
Se1 0.2409 0.2409 0.2409
Se2 0.2510 0.7303 0.7303
Se3 0.2697 0.2697 0.7490
Se4 0.2697 0.7490 0.2697
Se5 0.7303 0.2510 0.7303
Se6 0.7303 0.7303 0.2510
Se7 0.7490 0.2697 0.2697
Se8 0.7591 0.7591 0.7591

Output
- Formation energy from raw total energies: -23.781 eV per formula unit
- Crystal system: trigonal
- SG: R-3m, No. 166

***

(7)
Density functional theory data (PBE) for a relaxed structure of GaAgSeN2.

Lattice parameters (Å, degrees): 4.1124 4.1124 5.6344 90.00 90.00 90.00
Fractional positions:
Ga1 0.0000 0.0000 0.0000
Ag1 0.5000 0.5000 0.5000
Se1 0.5000 0.5000 0.0000
N1 0.0000 0.5000 0.5000
N2 0.5000 0.0000 0.5000

Output
- Formation energy from raw total energies: 8.064 eV per formula unit
- Polymorph energy (0 for the lowest one): 455 meV per atom
- Crystal system: tetragonal
- SG: P4/mmm, No. 123

***

(8)
Density functional theory data (PBE) for a relaxed structure of BaMn2Ir.

Lattice parameters (Å, degrees): 6.3128 6.3128 6.3128 40.36 40.36 40.36
Fractional positions:
Ba1 0.0000 0.0000 0.0000
Mn1 0.1900 0.1900 0.1900
Mn2 0.8100 0.8100 0.8100
Ir1 0.5000 0.5000 0.5000

Output
- E_form: 0.17 eV/atom
- Crystal system: trigonal
- SG: R-3m, No. 166

***

(9)
Density functional theory data (PBE) for a relaxed structure of K5As.

Lattice parameters (Å, degrees): 7.8521 7.8521 5.5964 90.00 90.00 120.00
Fractional positions:
K1 0.0000 0.7407 0.0000
K2 0.2593 0.2593 0.0000
K3 0.3333 0.6667 0.5000
K4 0.6667 0.3333 0.5000
K5 0.7407 0.0000 0.0000
As1 0.0000 0.0000 0.5000

Output
- E_form: -0.05 eV/atom
- Polymorph energy (0 for the lowest one): 68 meV per atom
- Crystal system: hexagonal
- SG: P-62m, No. 189

***

(10)
Density functional theory data (PBE) for a relaxed structure of RuPbCl2.

Lattice parameters (Å, degrees): 3.2383 3.2383 8.6435 90.00 90.00 90.00
Fractional positions:
Ru1 0.0000 0.0000 0.0000
Pb1 0.0000 0.0000 0.5000
Cl1 0.5000 0.5000 0.1873
Cl2 0.5000 0.5000 0.8127

Output
- Formation energy from raw total energies: 0.968 eV per formula unit
- Polymorph energy (0 for the lowest one): 441 meV per atom
- Crystal system: tetragonal
- SG: P4/mmm, No. 123

***

(11)
Density functional theory data (PBE) for a relaxed structure of Mg2ZnSnRh.

Lattice parameters (Å, degrees): 4.9960 4.9960 4.9967 90.00 90.00 90.00
Fractional positions:
Mg1 0.0000 0.5000 0.0000
Mg2 0.5000 0.0000 0.0000
Zn1 0.0000 0.0000 0.5000
Sn1 0.5000 0.5000 0.5000
Rh1 0.5000 0.5000 0.0000

Output
- E_form: -0.05 eV/atom
- Polymorph energy (0 for the lowest one): 177 meV per atom
- Crystal system: tetragonal
- SG: P4/mmm, No. 123

***

(12)
Density functional theory data (PBE) for a relaxed structure of NbVMo4.

Lattice parameters (Å, degrees): 3.1573 3.1573 9.5190 90.00 90.00 90.00
Fractional positions:
Nb1 0.0000 0.0000 0.0000
V1 0.5000 0.5000 0.5000
Mo1 0.0000 0.0000 0.3386
Mo2 0.0000 0.0000 0.6614
Mo3 0.5000 0.5000 0.1756
Mo4 0.5000 0.5000 0.8244

Output
- E_form: -0.12 eV/atom
- Polymorph energy (0 for the lowest one): 0 meV per atom
- Crystal system: tetragonal
- SG: P4/mmm, No. 123